# AcEu3Pd

AcEu3Pd after structural relaxation (PBE-GGA, Alexandria via LeMat-Bulk).

a = 5.823 Å, b = 5.823 Å, c = 5.823 Å
α = 90.00°, β = 90.00°, γ = 90.00°
Sites, in units of the cell vectors:
Ac 0.000 0.000 0.000
Eu 0.000 0.500 0.500
Eu 0.500 0.000 0.500
Eu 0.500 0.500 0.000
Pd 0.500 0.500 0.500

## Properties
ΔH_f (0 K), eV/atom: -0.1923